First-principles (GGA-PBEsol) data for a relaxed structure of TlW, as listed in the Alexandria database.

Results
Raw total energy   -14.28 eV for the cell shown
DFT formation energy   1.0773 eV/atom
ΔE to the lowest computed polymorph   8.68 kJ per mole of atoms
M_tot   0.00 μB per formula unit
Symmetry   No. 65

Cell lengths 3.0098, 3.0098, 4.9393 Å; angles 90.00, 90.00, 121.99 degrees
Closest atoms and distances in Å follow each position.
Positions (direct):
W  0.5000  0.5000  0.5000  4 Tl 2.87, 6 W 2.92-3.01
Tl  0.0000  0.0000  0.0000  4 W 2.87, 6 Tl 2.92-3.01



First-principles (GGA-PBEsol) data for a relaxed structure of Ag2BrCl, as listed in the Alexandria database.

Results
Raw total energy   -11.66 eV for the cell shown
ΔE to the lowest computed polymorph   2.19 kJ per mole of atoms
ΔE_f (raw)   -289 meV per atom
M_tot   0.00 μB per formula unit
Symmetry   No. 8

Cell lengths 3.7384, 3.8466, 6.1057 Å; angles 90.08, 107.83, 90.00 degrees
Closest atoms and distances in Å follow each position.
Positions (direct):
Cl  0.2575  0.1242  0.5151  6 Ag 2.68-2.95
Br  0.5237  0.6258  0.0474  5 Ag 2.80
Ag  0.9541  0.1258  0.9081  4 Br 2.80, 2 Ag 2.92-2.93, 2 Cl 2.95
Ag  0.7647  0.6241  0.5295  4 Cl 2.68, 1 Br 2.80, 2 Ag 2.92-2.93



First-principles (GGA-PBEsol) data for a relaxed structure of ZrScHg2, as listed in the Alexandria database.

Results
Raw total energy   -18.33 eV for the cell shown
DFT formation energy   -0.3754 eV/atom
ΔE to the lowest computed polymorph   1.68 kJ per mole of atoms
M_tot   0.77 μB per formula unit
Symmetry   No. 123

Cell lengths 3.4721, 4.8979, 4.8980 Å; angles 90.00, 90.00, 90.00 degrees
Closest atoms and distances in Å follow each position.
Positions (direct):
Hg  0.0000  0.5000  0.6245  4 Sc 3.00, 4 Zr 3.00
Hg  0.0000  0.0000  0.1256  4 Sc 3.00, 4 Zr 3.00
Sc  0.5000  0.0000  0.6254  8 Hg 3.00
Zr  0.5000  0.5000  0.1245  8 Hg 3.00



First-principles (GGA-PBEsol) data for a relaxed structure of BeAlOs2, as listed in the Alexandria database.

Results
Raw total energy   -32.95 eV for the cell shown
DFT formation energy   -0.1075 eV/atom
M_tot   0.00 μB per formula unit
Symmetry   No. 123

Cell lengths 2.9117, 4.1015, 4.1015 Å; angles 90.00, 90.00, 90.00 degrees
Closest atoms and distances in Å follow each position.
Positions (direct):
Os  0.0000  0.5000  0.0000  4 Al 2.51, 4 Be 2.51
Os  0.0000  0.0000  0.5000  4 Be 2.51, 4 Al 2.51
Al  0.5000  0.5000  0.5000  8 Os 2.51
Be  0.5000  0.0000  0.0000  8 Os 2.51



First-principles (GGA-PBEsol) data for a relaxed structure of Ga2SiTe, as listed in the Alexandria database.

Results
Raw total energy   -32.88 eV for the cell shown
ΔE_f (raw)   -122 meV per atom
M_tot   0.00 μB per formula unit
Symmetry   No. 122

Cell lengths 5.8744, 5.8744, 7.2115 Å; angles 114.03, 114.03, 90.00 degrees
Closest atoms and distances in Å follow each position.
Positions (direct):
Ga  0.8258  0.3750  0.2500  2 Si 2.39
Ga  0.4242  0.8750  0.2500  2 Si 2.39
Ga  0.1250  0.1742  0.7500  2 Si 2.39
Ga  0.6250  0.5758  0.7500  2 Si 2.39
Te  0.2500  0.7500  0.5000  4 Ga 2.72
Te  0.0000  0.0000  0.0000  4 Ga 2.72
Si  0.7500  0.2500  0.5000  4 Ga 2.39
Si  0.5000  0.5000  0.0000  4 Ga 2.39



First-principles (GGA-PBEsol) data for a relaxed structure of Co4Tc, as listed in the Alexandria database.

Results
Raw total energy   -42.00 eV for the cell shown
DFT formation energy   0.0433 eV/atom
M_tot   3.39 μB per formula unit
Symmetry   No. 87

Cell lengths 3.5071, 4.2956, 4.2956 Å; angles 80.41, 65.91, 65.91 degrees
Closest atoms and distances in Å follow each position.
Positions (direct):
Co  0.1972  0.2036  0.4019  9 Co 2.45-2.50, 3 Tc 2.48-2.49
Co  0.8028  0.7964  0.5981  9 Co 2.45-2.50, 3 Tc 2.48-2.49
Co  0.4008  0.4019  0.7964  9 Co 2.45-2.50, 3 Tc 2.48-2.49
Co  0.5992  0.5981  0.2036  9 Co 2.45-2.50, 3 Tc 2.48-2.49
Tc  0.0000  0.0000  0.0000  12 Co 2.48-2.49



First-principles (GGA-PBEsol) data for a relaxed structure of Nb2Si2Mo, as listed in the Alexandria database.

Results
Raw total energy   -95.82 eV for the cell shown
ΔE_f (raw)   -601 meV per atom
M_tot   0.00 μB per formula unit
Symmetry   No. 127

Cell lengths 3.5094, 6.5684, 6.5684 Å; angles 90.00, 90.00, 90.00 degrees
Closest atoms and distances in Å follow each position.
Positions (direct):
Nb  0.5000  0.3302  0.1698  6 Si 2.55-2.65
Nb  0.5000  0.8302  0.3302  6 Si 2.55-2.65
Nb  0.5000  0.1698  0.6698  6 Si 2.55-2.65
Nb  0.5000  0.6698  0.8302  6 Si 2.55-2.65
Si  0.0000  0.8696  0.6304  1 Si 2.42, 6 Nb 2.55-2.65, 2 Mo 2.57
Si  0.0000  0.1304  0.3696  1 Si 2.42, 6 Nb 2.55-2.65, 2 Mo 2.57
Si  0.0000  0.6304  0.1304  1 Si 2.42, 6 Nb 2.55-2.65, 2 Mo 2.57
Si  0.0000  0.3696  0.8696  1 Si 2.42, 6 Nb 2.55-2.65, 2 Mo 2.57
Mo  0.0000  0.0000  0.0000  4 Si 2.57
Mo  0.0000  0.5000  0.5000  4 Si 2.57



First-principles (GGA-PBEsol) data for a relaxed structure of Ti2BeRhC, as listed in the Alexandria database.

Results
Raw total energy   -36.84 eV for the cell shown
DFT formation energy   0.3180 eV/atom
M_tot   0.00 μB per formula unit
Symmetry   No. 123

Cell lengths 3.0754, 4.4398, 4.4398 Å; angles 90.00, 90.00, 90.00 degrees
Closest atoms and distances in Å follow each position.
Positions (direct):
Be  0.0000  0.0000  0.0000  2 C 1.54
Ti  0.0000  0.5000  0.0000  2 Be 2.22
Ti  0.0000  0.0000  0.5000  2 Be 2.22
C  0.5000  0.0000  0.0000  2 Be 1.54
Rh  0.5000  0.5000  0.5000  8 Ti 2.70